[1]
Ce2Fe2Se2O3 | PBEsol | optimized geometry

Cell and atoms, written as POSCAR:
```
Ce2Fe2Se2O3
1.0
-3.560 -0.582 -1.638
-1.189 -1.908 3.262
-0.349 8.596 2.495
O Se Fe Ce
3 2 2 2
Cartesian
-1.956 2.721 3.285
-3.142 3.385 0.835
-2.375 -1.245 0.812
-0.543 1.466 0.660
-4.555 4.640 3.460
-0.595 -0.954 1.631
-1.780 -0.291 -0.819
-1.755 4.736 2.131
-3.344 1.370 1.989
```

Formation energy (no corrections) (eV per atom): -1.907
Space-group type: No. 139
V (Å³/cell): 133.6



[2]
LaAgCl2 | PBEsol | optimized geometry

Cell and atoms, written as POSCAR:
```
LaAgCl2
1.0
4.377 0.000 0.000
0.000 4.377 0.000
-2.188 -2.188 4.498
Cl Ag La
2 1 1
Cartesian
0.000 0.000 0.000
2.188 0.000 2.249
0.000 2.188 2.249
2.188 2.188 0.000
```

Formation energy (no corrections) (eV per atom): -1.179
Offset from the most stable computed form (meV per atom): 56.3
Space-group type: No. 119
V (Å³/cell): 86.2